No. 1
Compound: Sc2HPbO
Source: the Alexandria database
Functional: PBE
Structure: relaxed

Structure (POSCAR):
```
Sc2HPbO
1.0
3.547 0.000 0.000
0.000 3.547 0.000
-1.774 -1.774 6.292
Sc H Pb O
2 1 1 1
Direct
0.661 0.661 0.323
0.339 0.339 0.677
0.750 0.250 0.500
0.000 0.000 0.000
0.250 0.750 0.500
```

## Properties
E = -0.4751 Ry/atom

---

No. 2
Compound: PmTmBePt
Source: the Alexandria database
Functional: PBE
Structure: relaxed

Structure (POSCAR):
```
PmTmBePt
1.0
4.940 0.000 0.000
2.470 4.278 0.000
2.470 1.426 4.033
Be Tm Pt Pm
1 1 1 1
Direct
0.000 0.000 0.000
0.250 0.250 0.250
0.500 0.500 0.500
0.750 0.750 0.750
```

## Properties
Energy of formation from the pure elements = -498 meV/atom

---

No. 3
Compound: Ba2AcP
Source: the Alexandria database
Functional: PBE
Structure: relaxed

Structure (POSCAR):
```
Ba2AcP
1.0
-3.144 1.154 2.800
0.113 -1.436 4.121
5.347 9.520 5.482
P Ac Ba
1 1 2
Direct
0.500 0.500 0.500
0.000 0.000 0.000
0.116 0.116 0.652
0.884 0.884 0.348
```

## Properties
Energy of formation from the pure elements = -370 meV/atom

---

Number 1: spin magnetization 0.00 Bohr magnetons per cell. Number 2: spin magnetization 0.00 Bohr magnetons per cell. Number 3: spin magnetization 0.00 Bohr magnetons per cell.